Computed, not measured: a relaxed Ac6Hg3Pt2S crystal at the GGA-PBE level of DFT.

Output
E_form (uncorrected)   -0.905 eV/atom
Crystal system   monoclinic
ρ   9666 kg/m³
Size of the total moment   0.00 μB/cell

Cell: 7.636 7.636 8.499 Å, 98.55 98.55 119.97°
Sites, in units of the cell vectors:
1 Ac 0.927 0.584 0.781
2 Ac 0.584 0.927 0.781
3 Ac 0.073 0.416 0.219
4 Ac 0.416 0.073 0.219
5 Ac 0.273 0.273 0.794
6 Ac 0.727 0.727 0.206
7 Hg 0.847 0.153 0.500
8 Hg 0.500 0.500 0.500
9 Hg 0.153 0.847 0.500
10 Pt 0.669 0.331 0.000
11 Pt 0.331 0.669 0.000
12 S 0.000 0.000 0.000

Computed, not measured: a relaxed NaNiOs3 crystal at the GGA-PBE level of DFT.

Output
Offset from the most stable computed form   1306 meV/atom
Crystal system   cubic
Formation energy from the elements   3.252 eV/atom
ρ   12605 kg/m³
Size of the total moment   3.56 μB/cell

Cell: 4.413 4.413 4.413 Å, 90.00 90.00 90.00°
Last column: magnetic moment on the atom in μB.
Sites, in units of the cell vectors:
1 Os 0.500 0.000 0.000  0.96
2 Os 0.000 0.000 0.500  0.83
3 Os 0.000 0.500 0.000  0.95
4 Ni 0.500 0.500 0.500  0.80
5 Na 0.000 0.000 0.000  0.03